Run one
The following is a GGA-PBE calculation of a relaxed structure of ErIn2Sb, from Alexandria.

M_tot = 0.0000 μB per atom

Cell lengths 3.5054, 3.5054, 33.8792 Å; angles 90.00, 90.00, 120.00 degrees
With the nearest neighbours (Å) after each atom.
Space group R-3m (No. 166, hexagonal axes)
Inequivalent atoms, fractional coordinates:
Er1 0.0000 0.0000 0.0000  2 In 3.13
In1 0.0000 0.0000 0.0924  1 Er 3.13, 3 Sb 3.23
Sb1 0.0000 0.0000 0.5000  6 In 3.23, 6 Sb 3.51

---

Run two
The following is a GGA-PBE calculation of a relaxed structure of ErIn2Sb, from Alexandria.

M_tot = 0.0000 μB per atom

Cell lengths 4.5235, 4.5235, 5.0358 Å; angles 90.00, 90.00, 90.00 degrees
With the nearest neighbours (Å) after each atom.
Space group P4/mmm (No. 123)
Inequivalent atoms, fractional coordinates:
Er1 0.0000 0.0000 0.0000  4 Sb 3.20, 8 In 3.38
In1 0.0000 0.5000 0.5000  4 In 3.20, 4 Sb 3.38, 4 Er 3.38
Sb1 0.5000 0.5000 0.0000  4 Er 3.20, 8 In 3.38

---

Stability check: which of them is least stable? run one.